(1)
Compound: Hg2MoPb
Source: the Alexandria database
Functional: PBEsol
Structure: optimized geometry

Computed properties:
For the energy, the calculation gives -3.684 eV/atom. The formation energy is 0.54 eV/atom.

a = 2.9934 Å, b = 5.0862 Å, c = 5.3679 Å
α = 90.00°, β = 90.00°, γ = 90.00°
With the nearest neighbours (Å) after each atom.
Fractional coordinates of all 4 atoms:
1 Hg 0.0000 0.0000 0.0000  4 Hg 2.99-3.08, 4 Mo 3.01-3.14, 4 Pb 3.13
2 Hg 0.0000 0.5000 0.3245  4 Pb 2.97-3.17, 4 Hg 2.99-3.08, 4 Mo 3.08
3 Mo 0.5000 0.0000 0.4866  2 Mo 2.99, 8 Hg 3.01-3.14, 2 Pb 3.06
4 Pb 0.5000 0.5000 0.8035  8 Hg 2.97-3.17, 2 Pb 2.99, 2 Mo 3.06

=====

(2)
Compound: TlCd2Au2
Source: the Alexandria database
Functional: PBEsol
Structure: optimized geometry

Computed properties:
For the energy, the calculation gives -2.684 eV/atom. The formation energy is -0.11 eV/atom.

a = 8.2476 Å, b = 8.2476 Å, c = 3.0241 Å
α = 90.00°, β = 90.00°, γ = 90.00°
With the nearest neighbours (Å) after each atom.
Fractional coordinates of all 10 atoms:
1 Tl 0.0000 0.0000 0.0000  2 Tl 3.02, 4 Au 3.09
2 Tl 0.5000 0.5000 0.0000  2 Tl 3.02, 4 Au 3.09
3 Cd 0.1339 0.3661 0.5000  6 Au 2.81-2.89, 3 Cd 3.02-3.12
4 Cd 0.3661 0.8661 0.5000  6 Au 2.81-2.89, 3 Cd 3.02-3.12
5 Cd 0.6339 0.1339 0.5000  6 Au 2.81-2.89, 3 Cd 3.02-3.12
6 Cd 0.8661 0.6339 0.5000  6 Au 2.81-2.89, 3 Cd 3.02-3.12
7 Au 0.1629 0.6629 0.0000  6 Cd 2.81-2.89, 2 Au 3.02, 2 Tl 3.09
8 Au 0.3371 0.1629 0.0000  6 Cd 2.81-2.89, 2 Au 3.02, 2 Tl 3.09
9 Au 0.6629 0.8371 0.0000  6 Cd 2.81-2.89, 2 Au 3.02, 2 Tl 3.09
10 Au 0.8371 0.3371 0.0000  6 Cd 2.81-2.89, 2 Au 3.02, 2 Tl 3.09

=====

(3)
Compound: NaNbCl6
Source: the Alexandria database
Functional: PBEsol
Structure: optimized geometry

Computed properties:
For the energy, the calculation gives -4.395 eV/atom. The formation energy without anion corrections is -1.362 eV/atom.

a = 6.4672 Å, b = 6.8187 Å, c = 19.0580 Å
α = 90.00°, β = 91.86°, γ = 90.00°
With the nearest neighbours (Å) after each atom.
Fractional coordinates of all 32 atoms:
1 Na 0.2069 0.1865 0.2560  6 Cl 2.77-2.92
2 Na 0.2069 0.3135 0.7560  6 Cl 2.77-2.92
3 Na 0.7931 0.6865 0.2440  6 Cl 2.77-2.92
4 Na 0.7931 0.8135 0.7440  6 Cl 2.77-2.92
5 Nb 0.2604 0.7168 0.6148  6 Cl 2.28-2.49
6 Nb 0.2604 0.7832 0.1148  6 Cl 2.28-2.49
7 Nb 0.7396 0.2168 0.8852  6 Cl 2.28-2.49
8 Nb 0.7396 0.2832 0.3852  6 Cl 2.28-2.49
9 Cl 0.0380 0.0353 0.8451  1 Nb 2.44
10 Cl 0.0380 0.4647 0.3451  1 Nb 2.44
11 Cl 0.0834 0.0072 0.6561  1 Nb 2.43
12 Cl 0.0834 0.4928 0.1561  1 Nb 2.43
13 Cl 0.1116 0.7444 0.0057  1 Nb 2.28
14 Cl 0.1116 0.7556 0.5057  1 Nb 2.28
15 Cl 0.3854 0.6867 0.7392  1 Nb 2.49, 1 Na 2.77
16 Cl 0.3854 0.8133 0.2392  1 Nb 2.49, 1 Na 2.77
17 Cl 0.4164 0.0788 0.0921  1 Nb 2.30
18 Cl 0.4164 0.4212 0.5921  1 Nb 2.30
19 Cl 0.4488 0.0986 0.4058  1 Nb 2.31
20 Cl 0.4488 0.4014 0.9058  1 Nb 2.31
21 Cl 0.5512 0.5986 0.0942  1 Nb 2.31
22 Cl 0.5512 0.9014 0.5942  1 Nb 2.31
23 Cl 0.5836 0.5788 0.4079  1 Nb 2.30
24 Cl 0.5836 0.9212 0.9079  1 Nb 2.30
25 Cl 0.6146 0.1867 0.7608  1 Nb 2.49, 1 Na 2.77
26 Cl 0.6146 0.3133 0.2608  1 Nb 2.49, 1 Na 2.77
27 Cl 0.8884 0.2444 0.4943  1 Nb 2.28
28 Cl 0.8884 0.2556 0.9943  1 Nb 2.28
29 Cl 0.9166 0.5072 0.8439  1 Nb 2.43
30 Cl 0.9166 0.9928 0.3439  1 Nb 2.43
31 Cl 0.9620 0.5353 0.6549  1 Nb 2.44
32 Cl 0.9620 0.9647 0.1549  1 Nb 2.44

=====

(4)
Compound: Mn2PSe
Source: the Alexandria database
Functional: PBEsol
Structure: optimized geometry

Computed properties:
For the energy, the calculation gives -7.210 eV/atom. The formation energy without anion corrections is 0.081 eV/atom.

a = 8.8792 Å, b = 8.8792 Å, c = 8.8792 Å
α = 18.19°, β = 18.19°, γ = 18.19°
With the nearest neighbours (Å) after each atom.
Fractional coordinates of all 4 atoms:
1 Mn 0.0000 0.0000 0.0000  3 Se 2.35, 3 Mn 2.52
2 Mn 0.2595 0.2595 0.2595  3 P 2.28, 3 Mn 2.52
3 P 0.5318 0.5318 0.5318  3 Mn 2.28
4 Se 0.7315 0.7315 0.7315  3 Mn 2.35

=====

(5)
Compound: KMg2Zn2
Source: the Alexandria database
Functional: PBEsol
Structure: optimized geometry

Computed properties:
For the energy, the calculation gives -1.450 eV/atom. The formation energy is 0.10 eV/atom.

a = 6.6598 Å, b = 6.6598 Å, c = 6.6598 Å
α = 139.22°, β = 139.22°, γ = 59.03°
With the nearest neighbours (Å) after each atom.
Fractional coordinates of all 5 atoms:
1 K 0.0000 0.0000 0.0000  8 Zn 3.51, 8 Mg 3.71
2 Mg 0.2500 0.7500 0.5000  4 Zn 2.84
3 Mg 0.7500 0.2500 0.5000  4 Zn 2.84
4 Zn 0.3914 0.3914 0.0000  1 Zn 2.52
5 Zn 0.6086 0.6086 0.0000  1 Zn 2.52

=====

(6)
Compound: Sc13Os3Br16
Source: the Alexandria database
Functional: PBEsol
Structure: optimized geometry

Computed properties:
For the energy, the calculation gives -6.088 eV/atom. The formation energy without anion corrections is -1.325 eV/atom.

a = 10.4517 Å, b = 19.0681 Å, c = 8.8580 Å
α = 90.00°, β = 90.00°, γ = 90.00°
With the nearest neighbours (Å) after each atom.
Fractional coordinates of all 64 atoms:
1 Sc 0.0000 0.0000 0.0000  6 Br 2.66-2.70
2 Sc 0.0555 0.3826 0.0000  2 Os 2.72, 4 Br 2.77-2.79
3 Sc 0.1054 0.6032 0.3205  2 Os 2.66-2.76, 3 Br 2.67-2.87
4 Sc 0.1054 0.6032 0.6795  2 Os 2.66-2.76, 3 Br 2.67-2.87
5 Sc 0.1829 0.4402 0.3178  2 Os 2.62-2.75, 3 Br 2.75-2.86
6 Sc 0.1829 0.4402 0.6822  2 Os 2.62-2.75, 3 Br 2.75-2.86
7 Sc 0.2071 0.5295 0.0000  2 Os 2.66, 4 Br 2.72-2.91
8 Sc 0.2929 0.0295 0.5000  2 Os 2.66, 4 Br 2.72-2.91
9 Sc 0.3171 0.9402 0.1822  2 Os 2.62-2.75, 3 Br 2.75-2.86
10 Sc 0.3171 0.9402 0.8178  2 Os 2.62-2.75, 3 Br 2.75-2.86
11 Sc 0.3946 0.1032 0.1795  2 Os 2.66-2.76, 3 Br 2.67-2.87
12 Sc 0.3946 0.1032 0.8205  2 Os 2.66-2.76, 3 Br 2.67-2.87
13 Sc 0.4445 0.8826 0.5000  2 Os 2.72, 4 Br 2.77-2.79
14 Sc 0.5000 0.5000 0.5000  6 Br 2.66-2.70
15 Sc 0.5555 0.1174 0.5000  2 Os 2.72, 4 Br 2.77-2.79
16 Sc 0.6054 0.8968 0.1795  2 Os 2.66-2.76, 3 Br 2.67-2.87
17 Sc 0.6054 0.8968 0.8205  2 Os 2.66-2.76, 3 Br 2.67-2.87
18 Sc 0.6829 0.0598 0.1822  2 Os 2.62-2.75, 3 Br 2.75-2.86
19 Sc 0.6829 0.0598 0.8178  2 Os 2.62-2.75, 3 Br 2.75-2.86
20 Sc 0.7071 0.9705 0.5000  2 Os 2.66, 4 Br 2.72-2.91
21 Sc 0.7929 0.4705 0.0000  2 Os 2.66, 4 Br 2.72-2.91
22 Sc 0.8171 0.5598 0.3178  2 Os 2.62-2.75, 3 Br 2.75-2.86
23 Sc 0.8171 0.5598 0.6822  2 Os 2.62-2.75, 3 Br 2.75-2.86
24 Sc 0.8946 0.3968 0.3205  2 Os 2.66-2.76, 3 Br 2.67-2.87
25 Sc 0.8946 0.3968 0.6795  2 Os 2.66-2.76, 3 Br 2.67-2.87
26 Sc 0.9445 0.6174 0.0000  2 Os 2.72, 4 Br 2.77-2.79
27 Os 0.0000 0.5000 0.1623  8 Sc 2.62-2.72, 1 Os 2.88
28 Os 0.0000 0.5000 0.5000  8 Sc 2.75-2.76, 2 Os 2.99
29 Os 0.0000 0.5000 0.8377  8 Sc 2.62-2.72, 1 Os 2.88
30 Os 0.5000 0.0000 0.0000  8 Sc 2.75-2.76, 2 Os 2.99
31 Os 0.5000 0.0000 0.3377  8 Sc 2.62-2.72, 1 Os 2.88
32 Os 0.5000 0.0000 0.6623  8 Sc 2.62-2.72, 1 Os 2.88
33 Br 0.0938 0.3065 0.2655  3 Sc 2.74-2.79
34 Br 0.0938 0.3065 0.7345  3 Sc 2.74-2.79
35 Br 0.1292 0.8797 0.0000  3 Sc 2.66-2.79
36 Br 0.1395 0.0522 0.2303  4 Sc 2.70-2.91
37 Br 0.1395 0.0522 0.7697  4 Sc 2.70-2.91
38 Br 0.1809 0.9008 0.5000  2 Sc 2.72-2.78
39 Br 0.1900 0.6717 0.0000  2 Sc 2.72-2.77
40 Br 0.2144 0.6983 0.5000  2 Sc 2.67
41 Br 0.2856 0.1983 0.0000  2 Sc 2.67
42 Br 0.3100 0.1717 0.5000  2 Sc 2.72-2.77
43 Br 0.3191 0.4008 0.0000  2 Sc 2.72-2.78
44 Br 0.3605 0.5522 0.2697  4 Sc 2.70-2.91
45 Br 0.3605 0.5522 0.7303  4 Sc 2.70-2.91
46 Br 0.3708 0.3797 0.5000  3 Sc 2.66-2.79
47 Br 0.4062 0.8065 0.2345  3 Sc 2.74-2.79
48 Br 0.4062 0.8065 0.7655  3 Sc 2.74-2.79
49 Br 0.5938 0.1935 0.2345  3 Sc 2.74-2.79
50 Br 0.5938 0.1935 0.7655  3 Sc 2.74-2.79
51 Br 0.6292 0.6203 0.5000  3 Sc 2.66-2.79
52 Br 0.6395 0.4478 0.2697  4 Sc 2.70-2.91
53 Br 0.6395 0.4478 0.7303  4 Sc 2.70-2.91
54 Br 0.6809 0.5992 0.0000  2 Sc 2.72-2.78
55 Br 0.6900 0.8283 0.5000  2 Sc 2.72-2.77
56 Br 0.7144 0.8017 0.0000  2 Sc 2.67
57 Br 0.7856 0.3017 0.5000  2 Sc 2.67
58 Br 0.8100 0.3283 0.0000  2 Sc 2.72-2.77
59 Br 0.8191 0.0992 0.5000  2 Sc 2.72-2.78
60 Br 0.8605 0.9478 0.2303  4 Sc 2.70-2.91
61 Br 0.8605 0.9478 0.7697  4 Sc 2.70-2.91
62 Br 0.8708 0.1203 0.0000  3 Sc 2.66-2.79
63 Br 0.9062 0.6935 0.2655  3 Sc 2.74-2.79
64 Br 0.9062 0.6935 0.7345  3 Sc 2.74-2.79